[1]
The following is a PBE-GGA calculation of Na3NbPd after structural relaxation, from Alexandria via LeMat-Bulk.

Properties
Excess energy over the best structure of this formula in the dataset (meV/atom): 0
Raw total energy (eV per atom): -2.583
Symmetry: Pm-3m, No. 221
DFT formation energy (eV/atom): 1.261

Cell and atoms, written as POSCAR:
```
Na3NbPd
1.0
5.148 0.000 0.000
0.000 5.148 0.000
0.000 0.000 5.148
Na Nb Pd
3 1 1
direct
0.000 0.000 0.500
0.000 0.500 0.000
0.500 0.000 0.000
0.500 0.500 0.500
0.000 0.000 0.000
```


[2]
The following is a PBE-GGA calculation of Li4Ce after structural relaxation, from Alexandria via LeMat-Bulk.

Properties
Raw total energy (eV per atom): -1.642
Symmetry: Pm-3m, No. 221
DFT formation energy (eV/atom): 1.076

Cell and atoms, written as POSCAR:
```
Li4Ce
1.0
5.820 0.000 0.000
0.000 5.820 0.000
0.000 0.000 5.820
Li Ce
4 1
direct
0.000 0.000 0.000
0.000 0.500 0.500
0.500 0.000 0.500
0.500 0.500 0.000
0.500 0.500 0.500
```


[3]
The following is a PBE-GGA calculation of Al2IrPb after structural relaxation, from Alexandria via LeMat-Bulk.

Properties
Raw total energy (eV per atom): -4.902
Symmetry: I-42d, No. 122
DFT formation energy (eV/atom): 0.112

Cell and atoms, written as POSCAR:
```
Al2IrPb
1.0
7.764 0.000 0.000
0.000 7.764 0.000
0.000 0.000 5.625
Al Ir Pb
8 4 4
direct
0.178 0.750 0.125
0.250 0.178 0.875
0.250 0.322 0.375
0.322 0.750 0.625
0.678 0.250 0.625
0.750 0.678 0.375
0.750 0.822 0.875
0.822 0.250 0.125
0.000 0.000 0.000
0.000 0.500 0.250
0.500 0.000 0.750
0.500 0.500 0.500
0.000 0.000 0.500
0.000 0.500 0.750
0.500 0.000 0.250
0.500 0.500 0.000
```